# 1
Compound: ErZn4Ni2
Source: Alexandria
Functional: PBE
Structure: relaxed

Computed properties:
For the formation energy from the elements, the calculation gives -27.69 kJ per mole of atoms. For the excess energy over the best structure of this formula in the dataset, the calculation gives 0 meV/atom. The magnetic moment comes out at 0.00 μB per cell.

a = 5.0225 Å, b = 5.1860 Å, c = 5.1860 Å
α = 76.73°, β = 61.25°, γ = 61.25°
Fractional positions:
1 Ni 0.2495 0.5007 0.5007
2 Er 0.0000 0.0000 0.0000
3 Zn 0.3061 0.0003 0.3880
4 Ni 0.7505 0.4993 0.4993
5 Zn 0.6939 0.6120 0.9997
6 Zn 0.3061 0.3880 0.0003
7 Zn 0.6939 0.9997 0.6120

# 2
Compound: Na2Ga7Cu
Source: Alexandria
Functional: PBE
Structure: relaxed

Computed properties:
For the formation energy from the elements, the calculation gives -9.82 kJ per mole of atoms. The magnetic moment comes out at 0.00 μB per cell.

a = 4.2143 Å, b = 4.2143 Å, c = 11.2186 Å
α = 90.00°, β = 90.00°, γ = 90.00°
Fractional positions:
1 Na 0.0000 0.5000 0.2393
2 Cu 0.5000 0.5000 0.0000
3 Ga 0.0000 0.5000 0.6436
4 Ga 0.5000 0.0000 0.1320
5 Ga 0.0000 0.5000 0.8680
6 Ga 0.5000 0.0000 0.3564
7 Ga 0.5000 0.5000 0.5000
8 Ga 0.0000 0.0000 0.5000
9 Na 0.5000 0.0000 0.7607
10 Ga 0.0000 0.0000 0.0000

Question: Look up the formation energy from the elements of the first one.
Answer: -27.69 kJ per mole of atoms

Please write out number 2 again, unchanged.
Compound: Na2Ga7Cu
Source: Alexandria
Functional: PBE
Structure: relaxed

Computed properties:
For the formation energy from the elements, the calculation gives -9.82 kJ per mole of atoms. The magnetic moment comes out at 0.00 μB per cell.

a = 4.2143 Å, b = 4.2143 Å, c = 11.2186 Å
α = 90.00°, β = 90.00°, γ = 90.00°
Fractional positions:
1 Na 0.0000 0.5000 0.2393
2 Cu 0.5000 0.5000 0.0000
3 Ga 0.0000 0.5000 0.6436
4 Ga 0.5000 0.0000 0.1320
5 Ga 0.0000 0.5000 0.8680
6 Ga 0.5000 0.0000 0.3564
7 Ga 0.5000 0.5000 0.5000
8 Ga 0.0000 0.0000 0.5000
9 Na 0.5000 0.0000 0.7607
10 Ga 0.0000 0.0000 0.0000

Question: Which of these has the lowest formation energy from the elements?
Answer: ErZn4Ni2